Material: Cs2CoH
Method: DFT, PBE
State: relaxed

a b c (Å): 6.0512 6.0512 13.5855
angles (deg): 90.00 90.00 90.00
Last column: nearest neighbours and their distance in Å.
Space group I-42d (No. 122)
Asymmetric unit:
Cs1 0.1969 0.2500 0.1250 (multiplicity 8)  2 Co 2.57
Co1 0.0000 0.0000 0.0000 (multiplicity 4)  4 Cs 2.57
H1 0.0000 0.0000 0.5000 (multiplicity 4)  4 Cs 2.92

Crystal system = tetragonal
V = 497.5 Å³ per cell
Magnetic moment = 0.000 μB per formula unit
VASP energy = -29.97 eV/cell



Material: CsCoH4
Method: DFT, PBE
State: relaxed

a b c (Å): 6.1539 11.2559 4.8740
angles (deg): 90.00 90.10 90.00
Last column: nearest neighbours and their distance in Å.
Space group C2/c (No. 15)
Asymmetric unit:
Cs1 0.0000 0.1548 0.2500 (multiplicity 4)  14 H 3.06-3.34
Co1 0.0000 0.4741 0.2500 (multiplicity 4)  6 H 1.54-1.69
H1 0.0020 0.4081 0.5354 (multiplicity 8)  2 Co 1.58-1.69
H2 0.2331 0.4232 0.2486 (multiplicity 8)  1 Co 1.54

Crystal system = monoclinic
V = 337.6 Å³ per cell
Magnetic moment = 0.994 μB per formula unit
VASP energy = -86.44 eV/cell